Material: PmHoTl
Method: DFT, PBE-GGA
State: optimized geometry

Cell lengths 5.2420, 5.2420, 5.2420 Å; angles 60.00, 60.00, 60.00 degrees
Last column: nearest neighbours and their distance in Å.
Fractional coordinates of all 3 atoms:
Tl 0.2500 0.2500 0.2500  4 Ho 3.21, 4 Pm 3.21
Pm 0.5000 0.5000 0.5000  4 Tl 3.21
Ho 0.0000 0.0000 0.0000  4 Tl 3.21

Output
Energy of formation in eV per atom: -0.034
Crystal system: cubic
Density of states at the Fermi level in states/eV per cell: 5.3
Density in g/cm3: 8.39
Total magnetization in μB per atom: 0.010
Total DFT energy (no corrections) in eV for the cell shown: -11.80



Material: Pm4HoTl5
Method: DFT, PBE-GGA
State: optimized geometry

Cell lengths 3.8166, 3.8166, 19.7366 Å; angles 90.00, 90.00, 90.00 degrees
Last column: nearest neighbours and their distance in Å.
Fractional coordinates of all 10 atoms:
Pm 0.0000 0.0000 0.8047  8 Tl 3.36-3.37
Pm 0.0000 0.0000 0.3985  8 Tl 3.36-3.37
Pm 0.0000 0.0000 0.1953  8 Tl 3.36-3.37
Pm 0.0000 0.0000 0.6015  8 Tl 3.36-3.37
Tl 0.5000 0.5000 0.5000  8 Pm 3.36
Tl 0.5000 0.5000 0.7033  8 Pm 3.36-3.37
Tl 0.5000 0.5000 0.0935  4 Ho 3.27, 4 Pm 3.37
Tl 0.5000 0.5000 0.9065  4 Ho 3.27, 4 Pm 3.37
Tl 0.5000 0.5000 0.2967  8 Pm 3.36-3.37
Ho 0.0000 0.0000 0.0000  8 Tl 3.27

Output
Energy of formation in eV per atom: -0.377
Crystal system: tetragonal
Density of states at the Fermi level in states/eV per cell: 8.3
Density in g/cm3: 10.21
Total magnetization in μB per atom: 0.000
Total DFT energy (no corrections) in eV for the cell shown: -39.18



Material: Pm6HoTl2
Method: DFT, PBE-GGA
State: optimized geometry

Cell lengths 5.9881, 9.9588, 9.9588 Å; angles 72.35, 82.79, 82.79 degrees
Last column: nearest neighbours and their distance in Å.
Fractional coordinates of all 18 atoms:
Pm 0.5334 0.3287 0.5543  4 Pm 3.24-3.62, 4 Tl 3.25-3.51, 1 Ho 3.39
Pm 0.4666 0.6713 0.4457  4 Pm 3.24-3.62, 4 Tl 3.25-3.51, 1 Ho 3.39
Pm 0.1993 0.0012 0.2265  5 Pm 3.41-3.68, 2 Tl 3.45-3.67, 3 Ho 3.50-3.53
Pm 0.3007 0.7735 0.9988  5 Pm 3.41-3.68, 2 Tl 3.45-3.67, 3 Ho 3.50-3.53
Pm 0.8325 0.6386 0.8871  4 Pm 3.26-3.56, 4 Tl 3.31-3.58
Pm 0.9666 0.4457 0.6713  4 Pm 3.24-3.62, 4 Tl 3.25-3.51, 1 Ho 3.39
Pm 0.6993 0.2265 0.0012  5 Pm 3.41-3.68, 2 Tl 3.45-3.67, 3 Ho 3.50-3.53
Pm 0.8007 0.9988 0.7735  5 Pm 3.41-3.68, 2 Tl 3.45-3.67, 3 Ho 3.50-3.53
Pm 0.1675 0.3614 0.1129  4 Pm 3.26-3.56, 4 Tl 3.31-3.58
Pm 0.3325 0.8871 0.6386  4 Pm 3.26-3.56, 4 Tl 3.31-3.58
Pm 0.0334 0.5543 0.3287  4 Pm 3.24-3.62, 4 Tl 3.25-3.51, 1 Ho 3.39
Pm 0.6675 0.1129 0.3614  4 Pm 3.26-3.56, 4 Tl 3.31-3.58
Tl 0.9016 0.7927 0.5183  9 Pm 3.25-3.58
Tl 0.5984 0.4817 0.2073  9 Pm 3.25-3.58
Tl 0.0984 0.2073 0.4817  9 Pm 3.25-3.58
Tl 0.4016 0.5183 0.7927  9 Pm 3.25-3.58
Ho 0.2500 0.1435 0.8565  10 Pm 3.39-3.77
Ho 0.7500 0.8565 0.1435  10 Pm 3.39-3.77

Output
Energy of formation in eV per atom: -0.110
Crystal system: monoclinic
Density of states at the Fermi level in states/eV per cell: 22.2
Density in g/cm3: 8.58
Total magnetization in μB per atom: 0.000
Total DFT energy (no corrections) in eV for the cell shown: -77.61



Number 2 is which compound? Pm4HoTl5